Density functional theory data (PBE-GGA) for a relaxed Er3InN4 crystal.

abc: 4.825 4.825 4.825
angles: 90.00 90.00 90.00
Fractional positions:
Er1 0.500 0.000 0.500
Er2 0.000 0.500 0.500
Er3 0.500 0.500 0.000
In1 0.000 0.000 0.000
N1 0.000 0.500 0.000
N2 0.500 0.500 0.500
N3 0.500 0.000 0.000
N4 0.000 0.000 0.500

For the total moment, the calculation gives 0.000 μB per cell. For the density of states at the Fermi level, the calculation gives 0.68 states/eV/f.u. As for the space group: Pm-3m (221). The uncorrected formation energy is -1.243 eV per atom. The value obtained for the final energy is -7.460 eV per atom.